# 1
Compound: DyGaP
Source: the Alexandria database
Functional: GGA-PBE
Structure: optimized geometry

Geometry as POSCAR:
```
DyGaP
1.0
4.6446 0.0000 0.0000
2.3223 4.0224 0.0000
2.3223 1.3408 7.6604
Dy P Ga
2 2 2
direct
0.5973 0.5973 0.2082
0.4027 0.4027 0.7918
0.2819 0.2819 0.1544
0.7181 0.7181 0.8456
0.8243 0.8243 0.5271
0.1757 0.1757 0.4729
```

Properties
Uncorrected energy, eV/cell: -30.851
Space group: No. 166
DOS at the Fermi energy, states/eV per cell: 0.82
Crystal system: trigonal

# 2
Compound: DyGa2P2Pt7
Source: the Alexandria database
Functional: GGA-PBE
Structure: optimized geometry

Geometry as POSCAR:
```
DyGa2P2Pt7
1.0
-2.6927 -2.3156 1.6632
2.5900 -0.9879 2.7740
-4.4699 10.0239 9.2771
Dy Ga P Pt
1 2 2 7
direct
0.0000 0.0000 0.0000
0.8687 0.8687 0.4240
0.1313 0.1313 0.5760
0.5706 0.5706 0.7497
0.4294 0.4294 0.2503
0.5000 0.5000 0.0000
0.4056 0.4056 0.4093
0.5944 0.5944 0.5907
0.9552 0.4555 0.1565
0.4555 0.9552 0.1565
0.5445 0.0448 0.8435
0.0448 0.5445 0.8435
```

Properties
Uncorrected energy, eV/cell: -71.565
Space group: No. 12
DOS at the Fermi energy, states/eV per cell: 4.28
Crystal system: monoclinic

# 3
Compound: DyGa2PRu2
Source: the Alexandria database
Functional: GGA-PBE
Structure: optimized geometry

Geometry as POSCAR:
```
DyGa2PRu2
1.0
-4.2188 -1.2542 0.3836
0.8962 -1.8135 3.9276
-1.1978 4.7889 2.4844
Dy Ga P Ru
1 2 1 2
direct
0.0000 0.0000 0.5000
0.5000 0.5000 0.7240
0.5000 0.5000 0.2760
0.0000 0.0000 0.0000
0.5000 0.0000 0.0000
0.0000 0.5000 0.0000
```

Properties
Uncorrected energy, eV/cell: -37.353
Space group: No. 123
DOS at the Fermi energy, states/eV per cell: 4.63
Crystal system: tetragonal

# 4
Compound: Dy4GaPS2
Source: the Alexandria database
Functional: GGA-PBE
Structure: optimized geometry

Geometry as POSCAR:
```
Dy4GaPS2
1.0
-1.8378 -3.4328 0.5770
1.6673 -1.9825 -6.4835
6.1568 -3.2696 0.1581
Dy Ga P S
4 1 1 2
direct
0.0000 0.7542 0.7432
0.0000 0.2458 0.2568
0.5000 0.7451 0.2549
0.5000 0.2549 0.7451
0.5000 0.5000 0.0000
0.0000 0.5000 0.5000
0.0000 0.0000 0.0000
0.5000 0.0000 0.5000
```

Properties
Energy relative to the elements, uncorrected, eV per atom: -1.541
Uncorrected energy, eV/cell: -47.429
Space group: No. 10
DOS at the Fermi energy, states/eV per cell: 2.96
Crystal system: monoclinic